(1)
This record from Alexandria via LeMat-Bulk describes NdCdSn after structural relaxation. The functional is PBE.

Cell lengths 4.8538, 4.8538, 3.9852 Å; angles 90.00, 90.00, 120.00 degrees
Space group P3m1 (No. 156)
One atom of each set of equivalent atoms:
Nd 0.0000 0.0000 0.0000 x1
Cd 0.6667 0.3333 0.4229 x1
Sn 0.3333 0.6667 0.5718 x1

Output
ΔH_f (0 K)   -0.499 eV per atom
Total DFT energy (no corrections)   -11.18 eV per cell
Mass density   7.67 g/cm3

***

(2)
This record from Alexandria via LeMat-Bulk describes TlWCl2 after structural relaxation. The functional is PBE.

Cell lengths 7.605, 7.619, 3.249 Å; angles 90.00, 90.00, 90.00 degrees
Space group Cmmm (No. 65)
One atom of each set of equivalent atoms:
Tl 0.000 0.000 0.000 x2
W 0.000 0.500 0.000 x2
Cl 0.250 0.250 0.500 x4

Output
Energy relative to the lowest polymorph listed for this composition   780 meV per atom
Total DFT energy (no corrections)   -31.84 eV per cell
Mass density   8.10 g/cm3
Energy relative to the elements, uncorrected   0.7731 eV per atom

***

(3)
This record from Alexandria via LeMat-Bulk describes Pm6NiRu2Cl3 after structural relaxation. The functional is PBE.

Cell lengths 6.916, 11.980, 7.945 Å; angles 90.00, 106.84, 90.00 degrees
Space group C2/m (No. 12)
One atom of each set of equivalent atoms:
Pm 0.233 0.000 0.205 x4
Pm 0.236 0.332 0.205 x8
Ni 0.000 0.500 0.000 x2
Ru 0.000 0.166 0.000 x4
Cl 0.000 0.000 0.500 x2
Cl 0.000 0.331 0.500 x4

Output
Total DFT energy (no corrections)   -138.91 eV per cell
Mass density   6.52 g/cm3
Energy relative to the elements, uncorrected   -0.9231 eV per atom

***

(4)
This record from Alexandria via LeMat-Bulk describes Dy4TlSeS2 after structural relaxation. The functional is PBE.

Cell lengths 7.101, 3.966, 7.161 Å; angles 90.00, 108.32, 90.00 degrees
Space group P2/m (No. 10)
One atom of each set of equivalent atoms:
Dy 0.233 0.000 0.224 x2
Dy 0.253 0.500 0.769 x2
Tl 0.500 0.500 0.500 x1
Se 0.000 0.000 0.500 x1
S 0.000 0.500 0.000 x1
S 0.500 0.000 0.000 x1

Output
Total DFT energy (no corrections)   -44.27 eV per cell
Mass density   8.65 g/cm3
Energy relative to the elements, uncorrected   -1.4695 eV per atom

***

(5)
This record from Alexandria via LeMat-Bulk describes LaHo2Mg after structural relaxation. The functional is PBE.

Cell lengths 3.702, 3.702, 8.938 Å; angles 90.00, 90.00, 90.00 degrees
Space group P4/mmm (No. 123)
One atom of each set of equivalent atoms:
La 0.000 0.000 0.000 x1
Ho 0.500 0.500 0.282 x2
Mg 0.000 0.000 0.500 x1

Output
ΔH_f (0 K)   -0.016 eV per atom
Energy relative to the lowest polymorph listed for this composition   7 meV per atom
Total DFT energy (no corrections)   -15.74 eV per cell
Mass density   6.68 g/cm3

***

(6)
This record from Alexandria via LeMat-Bulk describes BC3 after structural relaxation. The functional is PBE.

Cell lengths 13.181, 2.576, 4.579 Å; angles 90.00, 106.71, 90.00 degrees
Space group Cm (No. 8)
One atom of each set of equivalent atoms:
B 0.000 0.000 0.000 x2
B 0.050 0.000 0.640 x2
B 0.343 0.500 0.111 x2
C 0.003 0.500 0.449 x2
C 0.053 0.500 0.182 x2
C 0.175 0.000 0.798 x2
C 0.175 0.500 0.292 x2
C 0.214 0.500 0.990 x2
C 0.216 0.000 0.494 x2
C 0.341 0.000 0.608 x2
C 0.382 0.500 0.793 x2
C 0.385 0.000 0.334 x2

Output
ΔH_f (0 K)   0.298 eV per atom
Energy relative to the lowest polymorph listed for this composition   57 meV per atom
Total DFT energy (no corrections)   -198.94 eV per cell
Mass density   3.13 g/cm3